Record 1
Material: Sc2MoN
Method: DFT, PBE
State: optimized geometry

The space group is I-42d (No. 122) and the conventional cell measures 6.161, 6.161 and 7.806 Å, with angles of 90.00, 90.00 and 90.00 degrees. The distinct sites, in fractional coordinates, are Sc at (0.148, 0.250, 0.125), Mo at (0.000, 0.000, 0.500) and N at (0.000, 0.000, 0.000).

As for the uncorrected formation energy: 0.02 eV per formula unit. As for the total energy: -7.951 eV per atom. The calculation puts the density at 4.48 Mg/m³. The magnetic moment comes out at 4.00 μB per cell. The crystal system is tetragonal. The polymorph energy (0 for the lowest one) is 525 meV/atom.

---

Record 2
Material: ScMoN3
Method: DFT, PBE
State: optimized geometry

The space group is Pm-3m (No. 221) and the conventional cell measures 3.906, 3.906 and 3.906 Å, with angles of 90.00, 90.00 and 90.00 degrees. The distinct sites, in fractional coordinates, are Sc at (0.000, 0.000, 0.000), Mo at (0.500, 0.500, 0.500) and N at (0.000, 0.500, 0.500).

As for the uncorrected formation energy: -1.23 eV per formula unit. As for the total energy: -8.673 eV per atom. The calculation puts the density at 5.10 Mg/m³. The magnetic moment comes out at 0.00 μB per cell. The crystal system is cubic.

---

Record 3
Material: Sc3Mo5N12
Method: DFT, PBE
State: optimized geometry

The space group is Ia-3d (No. 230) and the conventional cell measures 12.470, 12.470 and 12.470 Å, with angles of 90.00, 90.00 and 90.00 degrees. The distinct sites, in fractional coordinates, are Sc at (0.000, 0.250, 0.125), Mo at (0.000, 0.000, 0.000), Mo at (0.000, 0.250, 0.375) and N at (0.030, 0.059, 0.651).

As for the uncorrected formation energy: -11.20 eV per formula unit. As for the total energy: -9.213 eV per atom. The calculation puts the density at 5.36 Mg/m³. The magnetic moment comes out at 0.00 μB per cell. The crystal system is cubic.

---

Record 4
Material: Sc2MoN
Method: DFT, PBE
State: optimized geometry

The space group is R-3m (No. 166, hexagonal axes) and the conventional cell measures 3.0711, 3.0711 and 23.6805 Å, with angles of 90.00, 90.00 and 120.00 degrees. The distinct sites, in fractional coordinates, are Sc at (0.0000, 0.0000, 0.1131), Mo at (0.0000, 0.0000, 0.0000) and N at (0.0000, 0.0000, 0.5000).

As for the uncorrected formation energy: -2.08 eV per formula unit. As for the total energy: -8.475 eV per atom. The calculation puts the density at 5.15 Mg/m³. The magnetic moment comes out at 0.00 μB per cell. The crystal system is trigonal. The polymorph energy (0 for the lowest one) is 0 meV/atom.